# PBE SrTcOs2, optimized geometry
data_SrTcOs2
_chemical_formula_sum 'Sr2 Tc2 Os4'
_symmetry_space_group_name_H-M 'C 1 m 1'
_symmetry_Int_Tables_number 8
_symmetry_space_group_name_Hall 'C -2y'
_cell_length_a 10.341
_cell_length_b 2.880
_cell_length_c 5.609
_cell_angle_alpha 90.00
_cell_angle_beta 111.79
_cell_angle_gamma 90.00
loop_
_atom_site_label
_atom_site_type_symbol
_atom_site_fract_x
_atom_site_fract_y
_atom_site_fract_z
Sr1 Sr 0.000 0.000 0.000
Tc1 Tc 0.297 0.500 0.282
Os1 Os 0.008 0.500 0.528
Os2 Os 0.230 0.000 0.595
# E above lowest polymorph: 0.35 eV/f.u.
# crystal system: monoclinic
# E_form: 0.70 eV/atom